Dy3Ni5O12 after structural relaxation. Source: Alexandria via LeMat-Bulk, functional GGA+U.

Unit cell a=12.333 b=12.333 c=12.333 alpha=90.00 beta=90.00 gamma=90.00
Space group Ia-3d (No. 230)
Inequivalent atoms, fractional coordinates:
Dy 0.000 0.250 0.125 x24
Ni 0.000 0.000 0.000 x16
Ni 0.000 0.250 0.375 x24
O 0.027 0.057 0.652 x96

Values from the calculation:
The total energy comes out at -6.038 eV per atom. As for the crystal system: cubic.